# 1
# Pr7GaI12

A relaxed structure of Pr7GaI12 (GGA-PBE, the Alexandria database).

Calculated values
formation energy (no corrections)	-1.276	eV/atom
symmetry	R-3

Unit cell a=10.0640 b=10.0640 c=10.0640 alpha=107.89 beta=107.89 gamma=107.89
With the nearest neighbours (Å) after each atom.
Positions (direct):
I1 0.0782 0.6888 0.2314  3 Pr 3.21-3.37
I2 0.8453 0.6079 0.5270  3 Pr 3.20-3.26
I3 0.6888 0.2314 0.0782  3 Pr 3.21-3.37
I4 0.7686 0.9218 0.3112  3 Pr 3.21-3.37
I5 0.2314 0.0782 0.6888  3 Pr 3.21-3.37
I6 0.5270 0.8453 0.6079  3 Pr 3.20-3.26
I7 0.9218 0.3112 0.7686  3 Pr 3.21-3.37
I8 0.1547 0.3921 0.4730  3 Pr 3.20-3.26
I9 0.3921 0.4730 0.1547  3 Pr 3.20-3.26
I10 0.4730 0.1547 0.3921  3 Pr 3.20-3.26
I11 0.3112 0.7686 0.9218  3 Pr 3.21-3.37
I12 0.6079 0.5270 0.8453  3 Pr 3.20-3.26
Pr1 0.6794 0.8920 0.9632  1 Ga 2.93, 4 I 3.21-3.26
Pr2 0.3206 0.1080 0.0368  1 Ga 2.93, 4 I 3.21-3.26
Pr3 0.5000 0.5000 0.5000  6 I 3.20
Pr4 0.8920 0.9632 0.6794  1 Ga 2.93, 4 I 3.21-3.26
Pr5 0.9632 0.6794 0.8920  1 Ga 2.93, 4 I 3.21-3.26
Pr6 0.0368 0.3206 0.1080  1 Ga 2.93, 4 I 3.21-3.26
Pr7 0.1080 0.0368 0.3206  1 Ga 2.93, 4 I 3.21-3.26
Ga1 0.0000 0.0000 0.0000  6 Pr 2.93


# 2
# CoPb2W2

A relaxed structure of CoPb2W2 (GGA-PBE, the Alexandria database).

Calculated values
energy above the lowest structure with this stoichiometry	0.233	eV/atom
symmetry	P4/mbm

Unit cell a=7.9470 b=7.9470 c=3.2694 alpha=90.00 beta=90.00 gamma=90.00
With the nearest neighbours (Å) after each atom.
Positions (direct):
Pb1 0.8171 0.6829 0.0000  6 W 2.85-2.90, 2 Co 2.91
Pb2 0.1829 0.3171 0.0000  6 W 2.85-2.90, 2 Co 2.91
Pb3 0.3171 0.8171 0.0000  6 W 2.85-2.90, 2 Co 2.91
Pb4 0.6829 0.1829 0.0000  6 W 2.85-2.90, 2 Co 2.91
Co1 0.0000 0.0000 0.0000  4 Pb 2.91
Co2 0.5000 0.5000 0.0000  4 Pb 2.91
W1 0.6090 0.8910 0.5000  1 W 2.45
W2 0.3910 0.1090 0.5000  1 W 2.45
W3 0.1090 0.6090 0.5000  1 W 2.45
W4 0.8910 0.3910 0.5000  1 W 2.45